The following is a DFT calculation (PBE) of a relaxed HoZn2SiRu2 crystal.

a = 4.437 Å, b = 4.437 Å, c = 5.530 Å
α = 90.00°, β = 90.00°, γ = 90.00°
Fractional coordinates of all 6 atoms:
Ho 0.000 0.000 0.500
Si 0.000 0.000 0.000
Ru 0.500 0.000 0.000
Ru 0.000 0.500 0.000
Zn 0.500 0.500 0.731
Zn 0.500 0.500 0.269

## Properties
* space-group type: P4/mmm (123)
* DOS at the Fermi energy: 2.9 states/eV/f.u.
* energy relative to the elements, uncorrected: -222 meV per atom